No. 1
# La2PmNi PBE relaxed
data_La2PmNi
_symmetry_space_group_name_H-M 'P 1'
_symmetry_Int_Tables_number 1
_cell_length_a 5.1058
_cell_length_b 6.5993
_cell_length_c 7.5146
_cell_angle_alpha 90.00
_cell_angle_beta 90.00
_cell_angle_gamma 112.75
loop_
_symmetry_equiv_pos_as_xyz
'x,y,z'
loop_
_atom_site_label
_atom_site_fract_x
_atom_site_fract_y
_atom_site_fract_z
La1 0.3503 0.7001 0.5276
La2 0.6497 0.2999 0.4724
La3 0.3503 0.7001 0.9724
La4 0.6497 0.2999 0.0276
Pm1 0.9671 0.9338 0.2500
Pm2 0.0329 0.0662 0.7500
Ni1 0.8062 0.6104 0.7500
Ni2 0.1938 0.3896 0.2500
# Electronic total energy: -5.248 eV per atom
# DOS at the Fermi energy: 8.47 states/eV/cell

---

No. 2
# La3Pm3Ni4 PBE relaxed
data_La3Pm3Ni4
_symmetry_space_group_name_H-M 'P 1'
_symmetry_Int_Tables_number 1
_cell_length_a 3.9352
_cell_length_b 7.8573
_cell_length_c 7.8573
_cell_angle_alpha 90.51
_cell_angle_beta 90.00
_cell_angle_gamma 90.00
loop_
_symmetry_equiv_pos_as_xyz
'x,y,z'
loop_
_atom_site_label
_atom_site_fract_x
_atom_site_fract_y
_atom_site_fract_z
La1 0.0000 0.5027 0.9793
La2 0.0000 0.0207 0.4973
La3 0.5000 0.1482 0.8518
Pm1 0.5000 0.8245 0.1755
Pm2 0.5000 0.3471 0.3276
Pm3 0.5000 0.6724 0.6529
Ni1 0.0000 0.6176 0.3824
Ni2 0.0000 0.3845 0.6155
Ni3 0.0000 0.8725 0.8901
Ni4 0.0000 0.1099 0.1275
# Electronic total energy: -5.434 eV per atom
# DOS at the Fermi energy: 9.44 states/eV/cell

---

No. 3
# LaPmNi4 PBE relaxed
data_LaPmNi4
_symmetry_space_group_name_H-M 'P 1'
_symmetry_Int_Tables_number 1
_cell_length_a 5.1820
_cell_length_b 5.1820
_cell_length_c 5.1820
_cell_angle_alpha 60.00
_cell_angle_beta 60.00
_cell_angle_gamma 60.00
loop_
_symmetry_equiv_pos_as_xyz
'x,y,z'
loop_
_atom_site_label
_atom_site_fract_x
_atom_site_fract_y
_atom_site_fract_z
Ni1 0.6246 0.6246 0.1261
Ni2 0.6246 0.1261 0.6246
Ni3 0.6246 0.6246 0.6246
Ni4 0.1261 0.6246 0.6246
La1 0.0000 0.0000 0.0000
Pm1 0.2500 0.2500 0.2500
# Electronic total energy: -5.795 eV per atom
# DOS at the Fermi energy: 4.47 states/eV/cell

---

No. 4
# La2PmNi PBE relaxed
data_La2PmNi
_symmetry_space_group_name_H-M 'P 1'
_symmetry_Int_Tables_number 1
_cell_length_a 3.5824
_cell_length_b 3.5824
_cell_length_c 9.1615
_cell_angle_alpha 90.00
_cell_angle_beta 90.00
_cell_angle_gamma 90.00
loop_
_symmetry_equiv_pos_as_xyz
'x,y,z'
loop_
_atom_site_label
_atom_site_fract_x
_atom_site_fract_y
_atom_site_fract_z
Ni1 0.5000 0.5000 0.0000
La1 0.0000 0.0000 0.8162
La2 0.0000 0.0000 0.1838
Pm1 0.5000 0.5000 0.5000
# Electronic total energy: -5.179 eV per atom
# DOS at the Fermi energy: 7.11 states/eV/cell

---

No. 5
# LaPmNi PBE relaxed
data_LaPmNi
_symmetry_space_group_name_H-M 'P 1'
_symmetry_Int_Tables_number 1
_cell_length_a 4.3954
_cell_length_b 4.5924
_cell_length_c 4.5924
_cell_angle_alpha 120.00
_cell_angle_beta 90.00
_cell_angle_gamma 90.00
loop_
_symmetry_equiv_pos_as_xyz
'x,y,z'
loop_
_atom_site_label
_atom_site_fract_x
_atom_site_fract_y
_atom_site_fract_z
Ni1 0.0307 0.0000 0.0000
La1 0.7225 0.6667 0.3333
Pm1 0.2468 0.3333 0.6667
# Electronic total energy: -5.206 eV per atom
# DOS at the Fermi energy: 3.48 states/eV/cell

---

No. 6
# LaPm4Ni5 PBE relaxed
data_LaPm4Ni5
_symmetry_space_group_name_H-M 'P 1'
_symmetry_Int_Tables_number 1
_cell_length_a 3.4694
_cell_length_b 3.4694
_cell_length_c 17.5696
_cell_angle_alpha 90.00
_cell_angle_beta 90.00
_cell_angle_gamma 90.00
loop_
_symmetry_equiv_pos_as_xyz
'x,y,z'
loop_
_atom_site_label
_atom_site_fract_x
_atom_site_fract_y
_atom_site_fract_z
La1 0.0000 0.0000 0.0000
Pm1 0.0000 0.0000 0.2025
Pm2 0.0000 0.0000 0.4008
Pm3 0.0000 0.0000 0.5992
Pm4 0.0000 0.0000 0.7975
Ni1 0.5000 0.5000 0.1053
Ni2 0.5000 0.5000 0.3014
Ni3 0.5000 0.5000 0.5000
Ni4 0.5000 0.5000 0.6986
Ni5 0.5000 0.5000 0.8947
# Electronic total energy: -5.535 eV per atom
# DOS at the Fermi energy: 9.43 states/eV/cell

---

No. 7
# LaPmNi PBE relaxed
data_LaPmNi
_symmetry_space_group_name_H-M 'P 1'
_symmetry_Int_Tables_number 1
_cell_length_a 5.7237
_cell_length_b 8.7963
_cell_length_c 8.7963
_cell_angle_alpha 83.92
_cell_angle_beta 71.01
_cell_angle_gamma 71.01
loop_
_symmetry_equiv_pos_as_xyz
'x,y,z'
loop_
_atom_site_label
_atom_site_fract_x
_atom_site_fract_y
_atom_site_fract_z
La1 0.1638 0.0000 0.6723
La2 0.8362 0.3277 0.0000
La3 0.8362 0.0000 0.3277
La4 0.1638 0.6723 0.0000
Ni1 0.0000 0.3237 0.6763
Ni2 0.6763 0.3237 0.3237
Ni3 0.3237 0.6763 0.6763
Ni4 0.0000 0.6763 0.3237
Pm1 0.5000 0.3351 0.6649
Pm2 0.1649 0.3351 0.3351
Pm3 0.8351 0.6649 0.6649
Pm4 0.5000 0.6649 0.3351
# Electronic total energy: -5.192 eV per atom
# DOS at the Fermi energy: 12.14 states/eV/cell

---

No. 8
# La3Pm4Ni4 PBE relaxed
data_La3Pm4Ni4
_symmetry_space_group_name_H-M 'P 1'
_symmetry_Int_Tables_number 1
_cell_length_a 4.8203
_cell_length_b 7.5509
_cell_length_c 8.8523
_cell_angle_alpha 115.25
_cell_angle_beta 105.80
_cell_angle_gamma 90.00
loop_
_symmetry_equiv_pos_as_xyz
'x,y,z'
loop_
_atom_site_label
_atom_site_fract_x
_atom_site_fract_y
_atom_site_fract_z
La1 0.0984 0.0984 0.1968
La2 0.9016 0.9016 0.8032
La3 0.0000 0.5000 0.0000
Pm1 0.3311 0.1082 0.6622
Pm2 0.6689 0.4461 0.3378
Pm3 0.6689 0.8918 0.3378
Pm4 0.3311 0.5539 0.6622
Ni1 0.2006 0.7006 0.4013
Ni2 0.7994 0.2994 0.5987
Ni3 0.5000 0.8359 0.0000
Ni4 0.5000 0.1641 0.0000
# Electronic total energy: -5.352 eV per atom
# DOS at the Fermi energy: 12.35 states/eV/cell